Here is crystalline ScMo2As at its relaxed geometry from the Alexandria database. Energies are from PBE.

Structure (POSCAR):
```
ScMo2As
1.0
-2.3850 0.8664 -2.2319
-1.8477 -2.6694 0.9382
-2.6676 3.2983 4.1310
Sc As Mo
1 1 2
direct
0.5000 0.5000 0.2500 Sc
0.5000 0.5000 0.7500 As
0.0000 0.0000 0.5357 Mo
0.0000 0.0000 0.9643 Mo
```

Computed properties:
As for the crystal system: tetragonal. The value obtained for the total moment is 0.00 μB per atom.

***

Here is crystalline ScMo2As at its relaxed geometry from the Alexandria database. Energies are from PBE.

Structure (POSCAR):
```
ScMo2As
1.0
-2.3904 -3.4420 -2.2366
2.3532 -3.9037 1.3367
-1.7828 3.3934 2.8053
As Sc Mo
1 1 2
direct
0.7500 0.2500 0.5000 As
0.5000 0.5000 0.0000 Sc
0.2500 0.7500 0.5000 Mo
0.0000 0.0000 0.0000 Mo
```

Computed properties:
As for the crystal system: tetragonal. The value obtained for the total moment is 0.00 μB per atom.

***

Here is crystalline Sc2MoAs at its relaxed geometry from the Alexandria database. Energies are from PBE.

Structure (POSCAR):
```
Sc2MoAs
1.0
-3.3215 0.6442 -0.1689
-0.4937 -1.8052 2.8237
0.8831 5.5186 3.6825
Mo Sc As
1 2 1
direct
0.5000 0.5000 0.7028 Mo
0.0000 0.0000 0.9675 Sc
0.5000 0.5000 0.2933 Sc
0.0000 0.0000 0.5364 As
```

Computed properties:
As for the crystal system: tetragonal. The value obtained for the total moment is 0.29 μB per atom.

***

Here is crystalline Sc2MoAs at its relaxed geometry from the Alexandria database. Energies are from PBE.

Structure (POSCAR):
```
Sc2MoAs
1.0
-6.8857 4.3772 0.1932
-6.3972 3.9920 -3.1222
-7.8993 1.5507 -1.3438
Sc As Mo
2 1 1
direct
0.9966 0.9966 0.9966 Sc
0.5034 0.5034 0.5034 Sc
0.2500 0.2500 0.2500 As
0.7500 0.7500 0.7500 Mo
```

Computed properties:
As for the crystal system: trigonal. The value obtained for the total moment is 0.00 μB per atom.

***

Here is crystalline Sc2MoAs at its relaxed geometry from the Alexandria database. Energies are from PBE.

Structure (POSCAR):
```
Sc2MoAs
1.0
-2.5636 -1.1077 -3.6816
1.4219 -3.3098 -2.8943
-2.2126 -4.0544 -0.1395
Sc As Mo
2 1 1
direct
0.2500 0.2500 0.2500 Sc
0.0000 0.0000 0.0000 Sc
0.5000 0.5000 0.5000 As
0.7500 0.7500 0.7500 Mo
```

Computed properties:
As for the crystal system: cubic. The value obtained for the total moment is 0.17 μB per atom.

***

Here is crystalline ScMoAs2 at its relaxed geometry from the Alexandria database. Energies are from PBE.

Structure (POSCAR):
```
ScMoAs2
1.0
-2.4844 3.8557 1.4141
-0.8205 -1.5976 2.9147
3.3895 0.9148 3.4608
Mo As Sc
1 2 1
direct
0.0000 0.3688 0.3880 Mo
0.0000 0.0825 0.9597 As
0.5000 0.3836 0.3570 As
0.5000 0.6651 0.7953 Sc
```

Computed properties:
As for the crystal system: orthorhombic. The value obtained for the total moment is 0.00 μB per atom. As for the energy above the most stable polymorph in this dataset: 0.174 eV/atom.

***

Here is crystalline ScMo2As at its relaxed geometry from the Alexandria database. Energies are from PBE.

Structure (POSCAR):
```
ScMo2As
1.0
5.1763 0.0008 -0.0011
2.1298 4.7179 0.0011
-3.2821 -2.9337 2.7231
Mo As Sc
2 1 1
direct
0.9920 0.9920 0.0000 Mo
0.7637 0.2637 0.5000 Mo
0.2387 0.7387 0.5000 As
0.5056 0.5056 0.0000 Sc
```

Computed properties:
As for the crystal system: orthorhombic. The value obtained for the total moment is 0.00 μB per atom.

***

Here is crystalline ScMo2As at its relaxed geometry from the Alexandria database. Energies are from PBE.

Structure (POSCAR):
```
ScMo2As
1.0
3.3611 0.0000 0.0000
0.0000 3.3611 0.0000
0.0000 0.0000 5.9436
Mo Sc As
2 1 1
direct
0.5000 0.5000 0.2351 Mo
0.0000 0.0000 0.9970 Mo
0.0000 0.0000 0.5055 Sc
0.5000 0.5000 0.7625 As
```

Computed properties:
As for the crystal system: tetragonal. The value obtained for the total moment is 0.00 μB per atom.

***

Here is crystalline ScMoAs2 at its relaxed geometry from the Alexandria database. Energies are from PBE.

Structure (POSCAR):
```
ScMoAs2
1.0
0.0000 3.2237 3.2237
3.2237 0.0000 3.2237
3.2237 3.2237 0.0000
As Mo Sc
2 1 1
direct
0.7500 0.7500 0.7500 As
0.2500 0.2500 0.2500 As
0.5000 0.5000 0.5000 Mo
0.0000 0.0000 0.0000 Sc
```

Computed properties:
As for the crystal system: cubic. The value obtained for the total moment is 0.00 μB per atom. As for the energy above the most stable polymorph in this dataset: 0.106 eV/atom.

***

Here is crystalline Sc2MoAs at its relaxed geometry from the Alexandria database. Energies are from PBE.

Structure (POSCAR):
```
Sc2MoAs
1.0
-2.2801 1.2239 4.7923
-1.8657 -2.2093 4.6153
3.1227 0.2117 3.2045
As Mo Sc
1 1 2
direct
0.5256 0.5256 0.4743 As
0.2303 0.2303 0.2712 Mo
0.9883 0.9883 0.0119 Sc
0.7559 0.7559 0.7426 Sc
```

Computed properties:
As for the crystal system: monoclinic. The value obtained for the total moment is 0.00 μB per atom.

***

Here is crystalline Sc2MoAs at its relaxed geometry from the Alexandria database. Energies are from PBE.

Structure (POSCAR):
```
Sc2MoAs
1.0
-3.4042 -0.0854 0.8000
0.4079 -3.1812 1.3963
1.1802 2.4714 5.2859
As Mo Sc
1 1 2
direct
0.5000 0.5000 0.2500 As
0.5000 0.5000 0.7500 Mo
0.0000 0.0000 0.4980 Sc
0.0000 0.0000 0.0020 Sc
```

Computed properties:
As for the crystal system: tetragonal. The value obtained for the total moment is 0.00 μB per atom.

***

Here is crystalline Sc2MoAs at its relaxed geometry from the Alexandria database. Energies are from PBE.

Structure (POSCAR):
```
Sc2MoAs
1.0
3.1031 0.0176 0.0000
-0.9025 2.9690 0.0000
0.0000 0.0000 8.1705
As Mo Sc
1 1 2
direct
0.5000 0.5000 0.2500 As
0.5000 0.5000 0.7500 Mo
0.0000 0.0000 0.4949 Sc
0.0000 0.0000 0.0051 Sc
```

Computed properties:
As for the crystal system: orthorhombic. The value obtained for the total moment is 0.00 μB per atom.

***

Number 1: energy relative to the elements -0.1 eV per formula unit. Number 2: energy relative to the elements -0.3 eV per formula unit. Number 3: energy relative to the elements -1.2 eV per formula unit. Number 4: energy relative to the elements -0.8 eV per formula unit. Number 5: energy relative to the elements -0.5 eV per formula unit. Number 6: energy relative to the elements -1.8 eV per formula unit. Number 7: energy relative to the elements -0.5 eV per formula unit. Number 8: energy relative to the elements -0.9 eV per formula unit. Number 9: energy relative to the elements -2.0 eV per formula unit. Number 10: energy relative to the elements -1.3 eV per formula unit. Number 11: energy relative to the elements -1.9 eV per formula unit. Number 12: energy relative to the elements -1.2 eV per formula unit.